# LuZnGa

A relaxed structure of LuZnGa (GGA-PBE, the Alexandria database).

The space group is P-6m2 (No. 187) and the conventional cell measures 4.3882, 4.3882 and 3.4487 Å, with angles of 90.00, 90.00 and 120.00 degrees. The distinct sites, in fractional coordinates, are Lu at (0.0000, 0.0000, 0.0000), Zn at (0.3333, 0.6667, 0.5000) and Ga at (0.6667, 0.3333, 0.5000).

The value obtained for the raw total energy is -3.46 eV per atom. The energy of formation from the pure elements comes out at -522 meV/atom.

***

# LuZnGa

A relaxed structure of LuZnGa (GGA-PBE, the Alexandria database).

The space group is I4mm (No. 107) and the conventional cell measures 3.309, 3.309 and 10.774 Å, with angles of 90.00, 90.00 and 90.00 degrees. The distinct sites, in fractional coordinates, are Lu at (0.000, 0.000, 0.000), Zn at (0.000, 0.000, 0.320) and Ga at (0.000, 0.000, 0.686).

The value obtained for the raw total energy is -3.23 eV per atom. The energy of formation from the pure elements comes out at -286 meV/atom.

***

# LuZnGa2

A relaxed structure of LuZnGa2 (GGA-PBE, the Alexandria database).

The space group is R-3m (No. 166, hexagonal axes) and the conventional cell measures 4.2201, 4.2201 and 14.9247 Å, with angles of 90.00, 90.00 and 120.00 degrees. The distinct sites, in fractional coordinates, are Lu at (0.0000, 0.0000, 0.0000), Zn at (0.0000, 0.0000, 0.5000) and Ga at (0.0000, 0.0000, 0.2230).

The value obtained for the raw total energy is -3.31 eV per atom. The energy of formation from the pure elements comes out at -350 meV/atom.

***

# LuZrGa2

A relaxed structure of LuZrGa2 (GGA-PBE, the Alexandria database).

The space group is P4/mmm (No. 123) and the conventional cell measures 4.513, 4.513 and 3.937 Å, with angles of 90.00, 90.00 and 90.00 degrees. The distinct sites, in fractional coordinates, are Lu at (0.000, 0.000, 0.000), Zr at (0.500, 0.500, 0.000) and Ga at (0.000, 0.500, 0.500).

The value obtained for the raw total energy is -5.26 eV per atom. The distance to the lowest polymorph of the same formula comes out at 0.000 eV/f.u. The energy of formation from the pure elements comes out at -477 meV/atom.